A relaxed HoTmGaGe crystal. Source: Alexandria, functional PBE.

It has space group Amm2 (No. 38), with a = 3.972 Å, b = 4.280 Å, c = 10.678 Å, α = 90.00°, β = 90.00° and γ = 90.00°. The distinct sites, in fractional coordinates, are Ho at (0.000, 0.000, 0.000), Tm at (0.500, 0.000, 0.279), Ga at (0.500, 0.000, 0.559) and Ge at (0.000, 0.000, 0.720).

The value obtained for the total magnetic moment is 0.000 μB per formula unit. The total energy comes out at -4.954 eV/atom. The formation enthalpy at 0 K is -0.780 eV/atom. For the relative energy among the computed polymorphs, the calculation gives 0.000 eV per atom. For the density, the calculation gives 8.71 Mg/m³.

=====

A relaxed Th2RuPb crystal. Source: Alexandria, functional PBE.

It has space group Pnma (No. 62), with a = 7.402 Å, b = 4.242 Å, c = 14.065 Å, α = 90.00°, β = 90.00° and γ = 90.00°. The distinct sites, in fractional coordinates, are Th at (0.196, 0.250, 0.197), Th at (0.200, 0.750, 0.973), Ru at (0.053, 0.250, 0.859) and Pb at (0.031, 0.750, 0.355).

The value obtained for the total magnetic moment is 0.000 μB per formula unit. The total energy comes out at -7.374 eV/atom. The formation enthalpy at 0 K is -0.418 eV/atom. For the relative energy among the computed polymorphs, the calculation gives 0.000 eV per atom. For the density, the calculation gives 11.61 Mg/m³.

=====

A relaxed Tl2TcAu crystal. Source: Alexandria, functional PBE.

It has space group P4/mmm (No. 123), with a = 4.685 Å, b = 4.685 Å, c = 3.640 Å, α = 90.00°, β = 90.00° and γ = 90.00°. The distinct sites, in fractional coordinates, are Tl at (0.000, 0.500, 0.000), Tc at (0.000, 0.000, 0.500) and Au at (0.500, 0.500, 0.500).

The value obtained for the total magnetic moment is 0.001 μB per formula unit. The total energy comes out at -4.038 eV/atom. The formation enthalpy at 0 K is 0.556 eV/atom. For the relative energy among the computed polymorphs, the calculation gives 0.085 eV per atom. For the density, the calculation gives 14.63 Mg/m³.

=====

A relaxed KAuSe2 crystal. Source: Alexandria, functional PBE.

It has space group Cmcm (No. 63), with a = 5.726 Å, b = 13.876 Å, c = 7.423 Å, α = 90.00°, β = 90.00° and γ = 90.00°. The distinct sites, in fractional coordinates, are K at (0.000, 0.165, 0.250), Au at (0.000, 0.498, 0.250) and Se at (0.000, 0.379, 0.502).

The value obtained for the total magnetic moment is 0.000 μB per formula unit. The total energy comes out at -3.408 eV/atom. For the density, the calculation gives 4.44 Mg/m³.

=====

- Number 4 is which compound?
  KAuSe2

=====

Repeat the fourth record exactly.
A relaxed KAuSe2 crystal. Source: Alexandria, functional PBE.

It has space group Cmcm (No. 63), with a = 5.726 Å, b = 13.876 Å, c = 7.423 Å, α = 90.00°, β = 90.00° and γ = 90.00°. The distinct sites, in fractional coordinates, are K at (0.000, 0.165, 0.250), Au at (0.000, 0.498, 0.250) and Se at (0.000, 0.379, 0.502).

The value obtained for the total magnetic moment is 0.000 μB per formula unit. The total energy comes out at -3.408 eV/atom. For the density, the calculation gives 4.44 Mg/m³.

=====

Please write out number 3 again, unchanged.
A relaxed Tl2TcAu crystal. Source: Alexandria, functional PBE.

It has space group P4/mmm (No. 123), with a = 4.685 Å, b = 4.685 Å, c = 3.640 Å, α = 90.00°, β = 90.00° and γ = 90.00°. The distinct sites, in fractional coordinates, are Tl at (0.000, 0.500, 0.000), Tc at (0.000, 0.000, 0.500) and Au at (0.500, 0.500, 0.500).

The value obtained for the total magnetic moment is 0.001 μB per formula unit. The total energy comes out at -4.038 eV/atom. The formation enthalpy at 0 K is 0.556 eV/atom. For the relative energy among the computed polymorphs, the calculation gives 0.085 eV per atom. For the density, the calculation gives 14.63 Mg/m³.

=====

- Which of these has the lowest density?
  KAuSe2